MgNbBiMo | PBE | relaxed

Cell lengths 4.7505, 4.7505, 4.7505 Å; angles 60.00, 60.00, 60.00 degrees
Fractional positions:
Mg: 0.0000 0.0000 0.0000
Nb: 0.2500 0.2500 0.2500
Bi: 0.7500 0.7500 0.7500
Mo: 0.5000 0.5000 0.5000

Results
The total moment is 0.002 μB per atom. As for the energy above the most stable polymorph in this dataset: 0.000 eV per atom. Its space-group type is F-43m, No. 216.


MgNiBiMo | PBE | relaxed

Cell lengths 4.6200, 4.6200, 4.6200 Å; angles 60.00, 60.00, 60.00 degrees
Fractional positions:
Mg: 0.0000 0.0000 0.0000
Ni: 0.7500 0.7500 0.7500
Bi: 0.5000 0.5000 0.5000
Mo: 0.2500 0.2500 0.2500

Results
The total moment is 0.002 μB per atom. As for the energy above the most stable polymorph in this dataset: 0.000 eV per atom. Its space-group type is F-43m, No. 216.


MgBiSbMo | PBE | relaxed

Cell lengths 4.9391, 4.9391, 4.9391 Å; angles 60.00, 60.00, 60.00 degrees
Fractional positions:
Mg: 0.0000 0.0000 0.0000
Bi: 0.7500 0.7500 0.7500
Sb: 0.2500 0.2500 0.2500
Mo: 0.5000 0.5000 0.5000

Results
The total moment is 0.058 μB per atom. As for the energy above the most stable polymorph in this dataset: 0.000 eV per atom. Its space-group type is F-43m, No. 216.


NaMgNiBi | PBE | relaxed

Cell lengths 4.8032, 4.8032, 4.8032 Å; angles 60.00, 60.00, 60.00 degrees
Fractional positions:
Na: 0.0000 0.0000 0.0000
Mg: 0.7500 0.7500 0.7500
Ni: 0.5000 0.5000 0.5000
Bi: 0.2500 0.2500 0.2500

Results
The total moment is 0.001 μB per atom. As for the energy above the most stable polymorph in this dataset: 0.000 eV per atom. Its space-group type is F-43m, No. 216.


NaMgNiBi | PBE | relaxed

Cell lengths 4.8719, 4.8719, 4.8719 Å; angles 60.00, 60.00, 60.00 degrees
Fractional positions:
Na: 0.0000 0.0000 0.0000
Mg: 0.2500 0.2500 0.2500
Ni: 0.7500 0.7500 0.7500
Bi: 0.5000 0.5000 0.5000

Results
The total moment is 0.003 μB per atom. As for the energy above the most stable polymorph in this dataset: 0.088 eV per atom. Its space-group type is F-43m, No. 216.


NaMgBiPd | PBE | relaxed

Cell lengths 4.9470, 4.9470, 4.9470 Å; angles 60.00, 60.00, 60.00 degrees
Fractional positions:
Na: 0.0000 0.0000 0.0000
Mg: 0.7500 0.7500 0.7500
Bi: 0.5000 0.5000 0.5000
Pd: 0.2500 0.2500 0.2500

Results
As for the energy above the most stable polymorph in this dataset: 0.067 eV per atom. Its space-group type is F-43m, No. 216.


Question: Look up the energy above the most stable polymorph in this dataset of the fifth one.
Answer: 0.088 eV per atom